1.
# SiBr3O (GGA-PBEsol, optimized geometry)
data_SiBr3O
_symmetry_space_group_name_H-M 'P m -3 m'
_symmetry_Int_Tables_number 221
_symmetry_space_group_name_Hall '-P 4 2 3'
_cell_length_a 4.964
_cell_length_b 4.964
_cell_length_c 4.964
_cell_angle_alpha 90.00
_cell_angle_beta 90.00
_cell_angle_gamma 90.00
loop_
_atom_site_label
_atom_site_type_symbol
_atom_site_fract_x
_atom_site_fract_y
_atom_site_fract_z
Si1 Si 0.000 0.000 0.000
Br1 Br 0.000 0.000 0.500
O1 O 0.500 0.500 0.500
# electronic total energy: -2.91 eV per atom
# E_form (uncorrected): 0.416 eV/atom
# DOS(E_F): 1.174 states/eV/atom

---

2.
# Si2BrO (GGA-PBEsol, optimized geometry)
data_Si2BrO
_symmetry_space_group_name_H-M 'F m -3 m'
_symmetry_Int_Tables_number 225
_symmetry_space_group_name_Hall '-F 4 2 3'
_cell_length_a 6.273
_cell_length_b 6.273
_cell_length_c 6.273
_cell_angle_alpha 90.00
_cell_angle_beta 90.00
_cell_angle_gamma 90.00
loop_
_atom_site_label
_atom_site_type_symbol
_atom_site_fract_x
_atom_site_fract_y
_atom_site_fract_z
Si1 Si 0.250 0.250 0.250
Br1 Br 0.000 0.000 0.000
O1 O 0.000 0.000 0.500
# electronic total energy: -4.10 eV per atom
# E_form (uncorrected): 0.549 eV/atom
# DOS(E_F): 0.241 states/eV/atom